This record from the Alexandria database describes Dy3CuGeS7 at its PBEsol-relaxed geometry. The functional is SCAN.

Computed properties:
The density of states at the Fermi level is 0.0 states/eV/cell.

```
data_Dy3CuGeS7
_symmetry_space_group_name_H-M 'P 63'
_symmetry_Int_Tables_number 173
_cell_length_a 9.7469
_cell_length_b 9.7469
_cell_length_c 5.6688
_cell_angle_alpha 90.00
_cell_angle_beta 90.00
_cell_angle_gamma 120.00
loop_
_symmetry_equiv_pos_as_xyz
'x,y,z'
'x-y,x,z+1/2'
'-y,x-y,z'
'-x,-y,z+1/2'
'-x+y,-x,z'
'y,-x+y,z+1/2'
loop_
_atom_site_label
_atom_site_fract_x
_atom_site_fract_y
_atom_site_fract_z
Dy1 0.1312 0.7742 0.0000
Cu1 0.0000 0.0000 0.4591
Ge1 0.3333 0.6667 0.5814
S1 0.0958 0.5174 0.7444
S2 0.0974 0.8378 0.4754
S3 0.3333 0.6667 0.1969
```

This record from the Alexandria database describes NaZnSb at its PBEsol-relaxed geometry. The functional is SCAN.

Computed properties:
The density of states at the Fermi level is 0.7 states/eV/cell.

```
data_NaZnSb
_symmetry_space_group_name_H-M 'P 4/n m m'
_symmetry_Int_Tables_number 129
_cell_length_a 4.3951
_cell_length_b 4.3951
_cell_length_c 7.3873
_cell_angle_alpha 90.00
_cell_angle_beta 90.00
_cell_angle_gamma 90.00
loop_
_symmetry_equiv_pos_as_xyz
'x,y,z'
'-x,-y,-z'
'-y+1/2,x,z'
'y+1/2,-x,-z'
'-x+1/2,-y+1/2,z'
'x+1/2,y+1/2,-z'
'y,-x+1/2,z'
'-y,x+1/2,-z'
'x+1/2,-y,-z'
'-x+1/2,y,z'
'-y,-x,-z'
'y,x,z'
'-x,y+1/2,-z'
'x,-y+1/2,z'
'y+1/2,x+1/2,-z'
'-y+1/2,-x+1/2,z'
loop_
_atom_site_label
_atom_site_fract_x
_atom_site_fract_y
_atom_site_fract_z
Na1 0.2500 0.2500 0.1575
Zn1 0.2500 0.7500 0.5000
Sb1 0.2500 0.2500 0.7232
```

This record from the Alexandria database describes LiFe3Sn at its PBEsol-relaxed geometry. The functional is SCAN.

Computed properties:
The density of states at the Fermi level is 2.8 states/eV/cell.

```
data_LiFe3Sn
_symmetry_space_group_name_H-M 'P m -3 m'
_symmetry_Int_Tables_number 221
_symmetry_space_group_name_Hall '-P 4 2 3'
_cell_length_a 4.0521
_cell_length_b 4.0521
_cell_length_c 4.0521
_cell_angle_alpha 90.00
_cell_angle_beta 90.00
_cell_angle_gamma 90.00
loop_
_atom_site_label
_atom_site_fract_x
_atom_site_fract_y
_atom_site_fract_z
Li1 0.0000 0.0000 0.0000
Fe1 0.0000 0.0000 0.5000
Sn1 0.5000 0.5000 0.5000
```

Energy across the listed records, respectively: -22.059 -18.683 -17.750 eV/atom.
Density across the listed records, respectively: 6.0 4.9 7.3 g/cm3.
Spin magnetization across the listed records, respectively: 0.000 0.000 1.629 μB per atom.